Density functional theory data (PBE-GGA) for an optimized crystal structure of NbWSe2N.

Cell lengths 5.0756, 5.0756, 3.7699 Å; angles 90.00, 90.00, 90.00 degrees
Closest atoms and distances in Å follow each position.
Space group P4/mmm (No. 123)
Asymmetric unit:
Nb1 0.0000 0.0000 0.0000 x1  8 Se 3.16
W1 0.5000 0.5000 0.5000 x1  2 N 1.88
Se1 0.0000 0.5000 0.5000 x2  2 W 2.54
N1 0.5000 0.5000 0.0000 x1  2 W 1.88

Calculated values
- relative energy among the computed polymorphs (meV/atom) = 0
- calculated volume (A^3/atom) = 19.42
- raw formation energy (eV/atom) = 0.4526
- electronic total energy (Ry per atom) = -0.530

***

Density functional theory data (PBE-GGA) for an optimized crystal structure of Pm3CuC2N6.

Cell lengths 5.3667, 5.3667, 6.1910 Å; angles 90.00, 90.00, 120.00 degrees
Closest atoms and distances in Å follow each position.
Space group P-3m1 (No. 164)
Asymmetric unit:
Pm1 0.0000 0.0000 0.0000 x1  6 N 2.40
Pm2 0.3333 0.6667 0.6604 x2  1 C 2.51, 9 N 2.73-2.78
Cu1 0.0000 0.0000 0.5000 x1  6 N 2.25
C1 0.3333 0.6667 0.2544 x2  3 N 1.37
N1 0.1867 0.3734 0.2687 x6  1 C 1.37

Calculated values
- calculated volume (A^3/atom) = 12.87
- raw formation energy (eV/atom) = -0.5681
- electronic total energy (Ry per atom) = -0.573

***

Density functional theory data (PBE-GGA) for an optimized crystal structure of Na2ScInTe.

Cell lengths 5.4910, 5.4910, 6.6483 Å; angles 90.00, 90.00, 90.00 degrees
Closest atoms and distances in Å follow each position.
Space group P4/mmm (No. 123)
Asymmetric unit:
Na1 0.0000 0.5000 0.0000 x2  2 Te 2.75
Sc1 0.0000 0.0000 0.5000 x1  4 In 3.88, 8 Na 4.31
In1 0.5000 0.5000 0.5000 x1  2 Te 3.32
Te1 0.5000 0.5000 0.0000 x1  4 Na 2.75

Calculated values
- calculated volume (A^3/atom) = 40.09
- raw formation energy (eV/atom) = 0.2685
- electronic total energy (Ry per atom) = -0.199

***

Density functional theory data (PBE-GGA) for an optimized crystal structure of TbNd14Zr.

Cell lengths 7.2810, 7.2810, 10.2955 Å; angles 90.00, 90.00, 90.00 degrees
Closest atoms and distances in Å follow each position.
Space group P4/mmm (No. 123)
Asymmetric unit:
Tb1 0.0000 0.0000 0.0000 x1  12 Nd 3.63-3.64
Nd1 0.0000 0.0000 0.5000 x1  12 Nd 3.64-3.73
Nd2 0.0000 0.5000 0.0000 x2  8 Nd 3.59, 2 Zr 3.64, 2 Tb 3.64
Nd3 0.0000 0.5000 0.5000 x2  12 Nd 3.64-3.69
Nd4 0.2553 0.2553 0.2427 x8  1 Zr 3.55, 10 Nd 3.56-3.73, 1 Tb 3.63
Nd5 0.5000 0.5000 0.5000 x1  12 Nd 3.64-3.66
Zr1 0.5000 0.5000 0.0000 x1  12 Nd 3.55-3.64

Calculated values
- calculated volume (A^3/atom) = 34.11
- energy of formation (kJ per mole of atoms) = 4.5
- electronic total energy (Ry per atom) = -0.364

***

Density functional theory data (PBE-GGA) for an optimized crystal structure of BaTeH.

Cell lengths 4.9421, 4.9421, 25.7698 Å; angles 90.00, 90.00, 120.00 degrees
Closest atoms and distances in Å follow each position.
Space group R3m (No. 160, hexagonal axes)
Asymmetric unit:
Ba1 0.0000 0.0000 0.0000 x3  6 Te 3.53-3.56
Ba2 0.0000 0.0000 0.1696 x3  6 H 2.86-2.90
Te1 0.0000 0.0000 0.4161 x3  3 H 3.32, 6 Ba 3.56-3.63
Te2 0.0000 0.0000 0.5862 x3  3 H 3.43, 6 Ba 3.53-3.57
H1 0.0000 0.0000 0.8156 x3  1 H 0.77
H2 0.0000 0.0000 0.8455 x3  1 H 0.77

Calculated values
- calculated volume (A^3/atom) = 30.28
- electronic total energy (Ry per atom) = -0.291

***

Density functional theory data (PBE-GGA) for an optimized crystal structure of Ru5Se4.

Cell lengths 9.7189, 9.7189, 3.4395 Å; angles 90.00, 90.00, 90.00 degrees
Closest atoms and distances in Å follow each position.
Space group I4/mmm (No. 139)
Asymmetric unit:
Ru1 0.0000 0.0000 0.0000 x2  8 Ru 2.61, 4 Se 2.72
Ru2 0.1431 0.1431 0.5000 x8  4 Se 2.58, 4 Ru 2.61-2.78
Se1 0.0000 0.2799 0.0000 x8  5 Ru 2.58-2.72

Calculated values
- calculated volume (A^3/atom) = 18.05
- raw formation energy (eV/atom) = 0.1695
- electronic total energy (Ry per atom) = -0.480

***

Density functional theory data (PBE-GGA) for an optimized crystal structure of InGa3Ag.

Cell lengths 6.6571, 6.6571, 5.6554 Å; angles 90.00, 90.00, 120.00 degrees
Closest atoms and distances in Å follow each position.
Space group P6_3/mmc (No. 194)
Asymmetric unit:
In1 0.3333 0.6667 0.2500 x2  12 Ga 3.22-3.35
Ga1 0.1991 0.3982 0.7500 x6  2 Ga 2.68, 2 Ag 2.70
Ag1 0.0000 0.0000 0.0000 x2  6 Ga 2.70, 2 Ag 2.83

Calculated values
- relative energy among the computed polymorphs (meV/atom) = 0
- calculated volume (A^3/atom) = 21.71
- energy of formation (kJ per mole of atoms) = 8.8
- electronic total energy (Ry per atom) = -0.209

***

Density functional theory data (PBE-GGA) for an optimized crystal structure of Er3Co2Rh.

Cell lengths 3.3341, 3.3341, 10.0158 Å; angles 90.00, 90.00, 90.00 degrees
Closest atoms and distances in Å follow each position.
Space group P4/mmm (No. 123)
Asymmetric unit:
Er1 0.0000 0.0000 0.0000 x1  8 Co 2.88
Er2 0.0000 0.0000 0.3272 x2  4 Co 2.86, 4 Rh 2.92
Co1 0.5000 0.5000 0.1650 x2  8 Er 2.86-2.88
Rh1 0.5000 0.5000 0.5000 x1  8 Er 2.92

Calculated values
- calculated volume (A^3/atom) = 18.56
- energy of formation (kJ per mole of atoms) = -42.7
- electronic total energy (Ry per atom) = -0.464